Record 1
AcMgZn2Rh2 after structural relaxation. Source: Alexandria, functional PBE.

Results
- M_tot (μB per atom) = 0.000
- calculated formation energy (eV/atom) = -0.51

```
AcMgZn2Rh2
1.0
-2.437 -3.303 -1.501
2.871 1.973 -2.640
5.080 -4.672 2.031
Ac Mg Zn Rh
1 1 2 2
direct
0.000 0.000 0.000 Ac
0.000 0.000 0.500 Mg
0.667 0.333 0.668 Zn
0.333 0.667 0.332 Zn
0.667 0.333 0.291 Rh
0.333 0.667 0.709 Rh
```

---

Record 2
PmSmTl after structural relaxation. Source: Alexandria, functional PBE.

Results
- M_tot (μB per atom) = 0.000
- ΔE to the lowest computed polymorph (meV per atom) = 45.5
- calculated formation energy (eV/atom) = -0.22

```
PmSmTl
1.0
3.702 0.000 0.000
0.000 3.702 0.000
-1.851 -1.851 6.858
Tl Sm Pm
1 1 1
direct
0.618 0.618 0.235 Tl
0.272 0.272 0.543 Sm
0.961 0.961 0.921 Pm
```

---

Record 3
AsIrPdPb2 after structural relaxation. Source: Alexandria, functional PBE.

Results
- M_tot (μB per atom) = 0.082
- calculated formation energy (eV/atom) = 0.98

```
AsIrPdPb2
1.0
5.458 0.000 0.000
0.000 4.551 0.000
0.000 0.000 5.458
Pb As Ir Pd
2 1 1 1
direct
0.000 0.000 0.500 Pb
0.500 0.000 0.000 Pb
0.000 0.000 0.000 As
0.500 0.500 0.500 Ir
0.000 0.500 0.000 Pd
```

---

Record 4
Hf3IrI after structural relaxation. Source: Alexandria, functional PBE.

Results
- M_tot (μB per atom) = 0.000
- ΔE to the lowest computed polymorph (meV per atom) = 0.0
- energy relative to the elements, uncorrected (meV/atom) = 198

```
Hf3IrI
1.0
-4.935 0.946 0.851
-1.267 -3.324 -3.650
-0.122 -3.746 3.453
I Ir Hf
1 1 3
direct
0.500 0.500 0.500 I
0.000 0.000 0.000 Ir
0.000 0.500 0.000 Hf
0.000 0.000 0.500 Hf
0.500 0.000 0.000 Hf
```

---

Record 5
SrCaSn3 after structural relaxation. Source: Alexandria, functional PBE.

Results
- M_tot (μB per atom) = 0.000
- ΔE to the lowest computed polymorph (meV per atom) = 622.7
- calculated formation energy (eV/atom) = 0.10

```
SrCaSn3
1.0
5.731 0.000 0.000
0.000 5.731 0.000
0.000 0.000 5.731
Sr Ca Sn
1 1 3
direct
0.500 0.500 0.500 Sr
0.000 0.000 0.000 Ca
0.000 0.500 0.000 Sn
0.000 0.000 0.500 Sn
0.500 0.000 0.000 Sn
```

---

Record 6
Ba2ZnCuH after structural relaxation. Source: Alexandria, functional PBE.

Results
- M_tot (μB per atom) = 0.000
- ΔE to the lowest computed polymorph (meV per atom) = 38.8

```
Ba2ZnCuH
1.0
-4.997 2.346 0.560
-2.312 -4.293 -2.648
-0.523 -1.994 3.688
H Zn Ba Cu
1 1 2 1
direct
0.000 0.000 0.000 H
0.000 0.000 0.500 Zn
0.000 0.500 0.000 Ba
0.500 0.000 0.000 Ba
0.500 0.500 0.500 Cu
```

---

Record 7
MgFeC after structural relaxation. Source: Alexandria, functional PBE.

Results
- M_tot (μB per atom) = 0.000
- calculated formation energy (eV/atom) = 0.15

```
MgFeC
1.0
4.265 0.000 0.000
0.000 3.101 0.000
0.000 -1.550 2.685
C Mg Fe
1 1 1
direct
0.090 0.000 0.000 C
0.718 0.667 0.333 Mg
0.192 0.333 0.667 Fe
```

---

Record 8
HgOs2Pb after structural relaxation. Source: Alexandria, functional PBE.

Results
- M_tot (μB per atom) = 0.000
- ΔE to the lowest computed polymorph (meV per atom) = 161.4
- calculated formation energy (eV/atom) = 0.68

```
HgOs2Pb
1.0
-5.355 5.541 7.576
-7.545 5.323 5.614
-7.070 3.144 7.543
Hg Os Pb
1 2 1
direct
0.735 0.735 0.735 Hg
0.989 0.989 0.989 Os
0.262 0.262 0.262 Os
0.514 0.514 0.514 Pb
```

---

Record 9
ZnRhO3 after structural relaxation. Source: Alexandria, functional PBE.

Results
- M_tot (μB per atom) = 0.865
- energy relative to the elements, uncorrected (meV/atom) = 246

```
ZnRhO3
1.0
3.803 0.000 0.000
0.000 3.803 0.000
0.000 0.000 3.803
Zn Rh O
1 1 3
direct
0.000 0.000 0.000 Zn
0.500 0.500 0.500 Rh
0.000 0.500 0.000 O
0.000 0.000 0.500 O
0.500 0.000 0.000 O
```

---

Record 10
Sm3In2Hg6 after structural relaxation. Source: Alexandria, functional PBE.

Results
- M_tot (μB per atom) = 0.000
- calculated formation energy (eV/atom) = -0.27

```
Sm3In2Hg6
1.0
4.540 0.000 0.000
0.000 4.540 0.000
-2.270 -2.270 14.190
Sm In Hg
3 2 6
direct
0.000 0.000 0.000 Sm
0.801 0.801 0.603 Sm
0.199 0.199 0.397 Sm
0.452 0.452 0.903 In
0.548 0.548 0.097 In
0.115 0.615 0.229 Hg
0.615 0.115 0.229 Hg
0.885 0.385 0.771 Hg
0.385 0.885 0.771 Hg
0.692 0.692 0.384 Hg
0.308 0.308 0.616 Hg
```

---

Record 11
Li6PrPd4 after structural relaxation. Source: Alexandria, functional PBE.

Results
- M_tot (μB per atom) = 0.000
- ΔE to the lowest computed polymorph (meV per atom) = 106.5
- calculated formation energy (eV/atom) = -0.26

```
Li6PrPd4
1.0
6.736 -0.274 -0.402
-3.357 5.847 0.402
-3.357 -1.775 5.585
Li Pr Pd
6 1 4
direct
0.000 0.888 0.509 Li
0.000 0.509 0.888 Li
0.620 0.112 0.112 Li
0.500 0.000 0.500 Li
0.380 0.491 0.491 Li
0.500 0.500 0.000 Li
0.000 0.000 0.000 Pr
0.000 0.247 0.607 Pd
0.640 0.393 0.393 Pd
0.000 0.607 0.247 Pd
0.360 0.753 0.753 Pd
```

---

Record 12
V2RuRh8 after structural relaxation. Source: Alexandria, functional PBE.

Results
- M_tot (μB per atom) = 0.000
- calculated formation energy (eV/atom) = -0.11

```
V2RuRh8
1.0
-1.534 1.513 -3.377
5.956 0.259 -2.588
-2.920 -6.503 0.788
V Ru Rh
2 1 8
direct
0.200 0.700 0.401 V
0.800 0.300 0.599 V
0.500 0.000 0.000 Ru
0.650 0.860 0.301 Rh
0.350 0.560 0.699 Rh
0.156 0.156 0.313 Rh
0.000 0.296 0.000 Rh
0.844 0.844 0.687 Rh
0.650 0.440 0.301 Rh
0.350 0.140 0.699 Rh
0.000 0.704 0.000 Rh
```

---

Record 13
TbHoNiAg after structural relaxation. Source: Alexandria, functional PBE.

Results
- M_tot (μB per atom) = 0.000
- calculated formation energy (eV/atom) = -0.31

```
TbHoNiAg
1.0
4.971 0.000 0.000
2.486 4.305 0.000
2.486 1.435 4.059
Ni Tb Ho Ag
1 1 1 1
direct
0.750 0.750 0.750 Ni
0.000 0.000 0.000 Tb
0.500 0.500 0.500 Ho
0.250 0.250 0.250 Ag
```

---

Record 14
HoCoC2 after structural relaxation. Source: Alexandria, functional PBE.

Results
- M_tot (μB per atom) = 0.000
- calculated formation energy (eV/atom) = -0.31

```
HoCoC2
1.0
4.139 0.000 0.000
-2.069 4.563 0.000
0.000 0.000 4.863
Ho Co C
2 2 4
direct
0.820 0.639 0.750 Ho
0.180 0.361 0.250 Ho
0.500 0.000 0.500 Co
0.500 0.000 0.000 Co
0.745 0.829 0.250 C
0.917 0.171 0.750 C
0.255 0.171 0.750 C
0.083 0.829 0.250 C
```

---

Record 15
P2OsSe after structural relaxation. Source: Alexandria, functional PBE.

Results
- M_tot (μB per atom) = 0.000
- energy relative to the elements, uncorrected (meV/atom) = 474

```
P2OsSe
1.0
-1.023 -0.946 -2.415
0.387 -1.823 2.074
-9.646 1.800 3.382
Os P Se
1 2 1
direct
0.500 0.500 0.750 Os
0.000 0.000 0.940 P
0.000 0.000 0.560 P
0.500 0.500 0.250 Se
```

---

Record 16
CdTeH2 after structural relaxation. Source: Alexandria, functional PBE.

Results
- M_tot (μB per atom) = 0.000
- ΔE to the lowest computed polymorph (meV per atom) = 0.0

```
CdTeH2
1.0
4.756 -0.002 0.000
-2.375 4.122 0.000
0.000 0.000 6.308
Cd Te H
1 1 2
direct
0.555 0.313 0.000 Cd
0.888 0.980 0.000 Te
0.617 0.449 0.500 H
0.531 0.266 0.500 H
```

---

Record 17
CuSn2TeRh after structural relaxation. Source: Alexandria, functional PBE.

Results
- M_tot (μB per atom) = 0.000
- energy relative to the elements, uncorrected (meV/atom) = 436

```
CuSn2TeRh
1.0
4.958 0.000 0.000
0.000 4.891 0.000
0.000 0.000 4.958
Te Rh Sn Cu
1 1 2 1
direct
0.500 0.500 0.500 Te
0.000 0.500 0.000 Rh
0.000 0.000 0.500 Sn
0.500 0.000 0.000 Sn
0.000 0.000 0.000 Cu
```

---

Record 18
Cu2Ir2N after structural relaxation. Source: Alexandria, functional PBE.

Results
- M_tot (μB per atom) = 0.364
- energy relative to the elements, uncorrected (meV/atom) = 1515

```
Cu2Ir2N
1.0
-2.814 2.065 -0.084
-0.108 -0.288 -3.478
-5.214 -4.203 -1.242
Ir Cu N
2 2 1
direct
0.750 0.250 0.500 Ir
0.250 0.750 0.500 Ir
0.407 0.407 0.187 Cu
0.593 0.593 0.813 Cu
0.000 0.000 0.000 N
```

---

Record 19
Pm5In2Pb2 after structural relaxation. Source: Alexandria, functional PBE.

Results
- M_tot (μB per atom) = 0.000
- ΔE to the lowest computed polymorph (meV per atom) = 100.3
- calculated formation energy (eV/atom) = -0.39

```
Pm5In2Pb2
1.0
-0.144 6.947 -6.572
-5.464 -2.475 -2.497
-2.075 2.925 10.097
Pm In Pb
10 4 4
direct
0.180 0.645 0.832 Pm
0.820 0.813 0.168 Pm
0.151 0.145 0.832 Pm
0.849 0.313 0.168 Pm
0.293 0.142 0.310 Pm
0.707 0.832 0.690 Pm
0.517 0.642 0.310 Pm
0.483 0.332 0.690 Pm
0.251 0.738 0.500 Pm
0.749 0.238 0.500 Pm
0.138 0.566 0.146 In
0.862 0.420 0.854 In
0.508 0.066 0.146 In
0.492 0.920 0.854 In
0.000 0.945 0.000 Pb
0.500 0.445 0.000 Pb
0.096 0.234 0.500 Pb
0.904 0.734 0.500 Pb
```

---

Record 20
Mg7GaRh4 after structural relaxation. Source: Alexandria, functional PBE.

Results
- M_tot (μB per atom) = 0.000
- calculated formation energy (eV/atom) = -0.18

```
Mg7GaRh4
1.0
-3.138 -2.140 2.880
-3.292 -5.879 -4.011
2.772 -5.373 2.972
Mg Ga Rh
7 1 4
direct
0.781 0.868 0.570 Mg
0.219 0.132 0.430 Mg
0.069 0.645 0.216 Mg
0.931 0.355 0.784 Mg
0.326 0.616 0.733 Mg
0.500 0.000 0.000 Mg
0.674 0.384 0.267 Mg
0.000 0.000 0.000 Ga
0.569 0.216 0.647 Rh
0.431 0.784 0.353 Rh
0.692 0.654 0.962 Rh
0.308 0.346 0.038 Rh
```

---

Record 21
Na6PbCl8 after structural relaxation. Source: Alexandria, functional PBE.

Results
- M_tot (μB per atom) = 0.000
- energy relative to the elements, uncorrected (meV/atom) = -1662

```
Na6PbCl8
1.0
1.278 7.332 3.325
-4.402 2.380 6.435
3.500 0.594 7.338
Na Pb Cl
6 1 8
direct
0.000 0.500 0.500 Na
0.500 0.000 0.000 Na
0.500 0.500 0.000 Na
0.000 0.000 0.500 Na
0.000 0.500 0.000 Na
0.500 0.000 0.500 Na
0.000 0.000 0.000 Pb
0.750 0.750 0.750 Cl
0.250 0.250 0.250 Cl
0.750 0.250 0.250 Cl
0.250 0.750 0.750 Cl
0.250 0.250 0.750 Cl
0.750 0.750 0.250 Cl
0.750 0.250 0.750 Cl
0.250 0.750 0.250 Cl
```

---

Record 22
ZrCr2Pt2 after structural relaxation. Source: Alexandria, functional PBE.

Results
- M_tot (μB per atom) = 0.001
- ΔE to the lowest computed polymorph (meV per atom) = 12.1
- calculated formation energy (eV/atom) = -0.25

```
ZrCr2Pt2
1.0
-0.886 -1.680 2.883
3.331 -0.268 0.867
0.834 4.923 5.192
Cr Zr Pt
2 1 2
direct
0.750 0.250 0.500 Cr
0.250 0.750 0.500 Cr
0.000 0.000 0.000 Zr
0.399 0.399 0.202 Pt
0.601 0.601 0.798 Pt
```

---

Record 23
Be2TlNi after structural relaxation. Source: Alexandria, functional PBE.

Results
- M_tot (μB per atom) = 0.000
- ΔE to the lowest computed polymorph (meV per atom) = 225.9
- calculated formation energy (eV/atom) = 0.38

```
Be2TlNi
1.0
-1.630 3.166 -1.438
-3.452 -1.281 1.092
0.378 1.576 3.043
Ni Tl Be
1 1 2
direct
0.500 0.000 0.500 Ni
0.000 0.500 0.500 Tl
0.000 0.000 0.000 Be
0.500 0.500 0.000 Be
```

---

Record 24
Tl2MoBr after structural relaxation. Source: Alexandria, functional PBE.

Results
- M_tot (μB per atom) = 0.000
- ΔE to the lowest computed polymorph (meV per atom) = 136.6
- energy relative to the elements, uncorrected (meV/atom) = 407

```
Tl2MoBr
1.0
5.889 -0.001 -0.012
5.022 3.074 -0.012
1.811 0.510 5.282
Tl Mo Br
2 1 1
direct
0.962 0.962 0.077 Tl
0.764 0.764 0.724 Tl
0.222 0.222 0.210 Mo
0.552 0.552 0.489 Br
```

---

Record 25
ZrScTc after structural relaxation. Source: Alexandria, functional PBE.

Results
- M_tot (μB per atom) = 0.000
- ΔE to the lowest computed polymorph (meV per atom) = 157.3
- calculated formation energy (eV/atom) = -0.07

```
ZrScTc
1.0
-6.422 1.606 -2.872
-5.557 -1.141 -4.031
-2.115 -0.292 2.254
Sc Tc Zr
1 1 1
direct
0.020 0.020 0.980 Sc
0.668 0.668 0.332 Tc
0.313 0.313 0.687 Zr
```

---

Record 26
CsCeScCl6 after structural relaxation. Source: Alexandria, functional PBE.

Results
- M_tot (μB per atom) = 0.223
- energy relative to the elements, uncorrected (meV/atom) = -2036

```
CsCeScCl6
1.0
-7.360 0.544 6.871
-6.657 -1.161 -7.038
7.299 -6.517 0.935
Cs Ce Sc Cl
2 2 2 12
direct
0.786 0.536 0.572 Cs
0.214 0.464 0.428 Cs
0.500 0.000 0.500 Ce
0.000 0.000 0.500 Ce
0.500 0.500 0.000 Sc
0.500 0.000 0.000 Sc
0.471 0.721 0.943 Cl
0.842 0.092 0.685 Cl
0.814 0.112 0.265 Cl
0.451 0.653 0.265 Cl
0.451 0.112 0.265 Cl
0.814 0.653 0.265 Cl
0.529 0.279 0.057 Cl
0.158 0.908 0.315 Cl
0.186 0.888 0.735 Cl
0.549 0.347 0.735 Cl
0.549 0.888 0.735 Cl
0.186 0.347 0.735 Cl
```